Entry 1:
The following is a GGA-PBE calculation of a relaxed structure of Ta2MnCu, from the Alexandria database.

```
data_Ta2MnCu
_chemical_formula_sum 'Ta2 Mn1 Cu1'
_cell_length_a 3.0704
_cell_length_b 3.0704
_cell_length_c 6.2922
_cell_angle_alpha 90.00
_cell_angle_beta 90.00
_cell_angle_gamma 90.00
_space_group_name_H-M_alt 'P 1'
_space_group_IT_number 1
loop_
_space_group_symop_operation_xyz
'x,y,z'
loop_
_atom_site_label
_atom_site_type_symbol
_atom_site_fract_x
_atom_site_fract_y
_atom_site_fract_z
Ta1 Ta 0.0000 0.0000 0.2403
Ta2 Ta 0.0000 0.0000 0.7597
Mn1 Mn 0.5000 0.5000 0.0000
Cu1 Cu 0.5000 0.5000 0.5000
```

Energy of formation ... -0.005 eV/atom
Density of states at the Fermi level ... 0.469 states/eV/atom
Total moment ... 0.00 μB per formula unit


Entry 2:
The following is a GGA-PBE calculation of a relaxed structure of MgNbReSn, from the Alexandria database.

```
data_MgNbReSn
_chemical_formula_sum 'Mg1 Nb1 Re1 Sn1'
_cell_length_a 3.3921
_cell_length_b 3.3921
_cell_length_c 6.3713
_cell_angle_alpha 90.00
_cell_angle_beta 90.00
_cell_angle_gamma 90.00
_space_group_name_H-M_alt 'P 1'
_space_group_IT_number 1
loop_
_space_group_symop_operation_xyz
'x,y,z'
loop_
_atom_site_label
_atom_site_type_symbol
_atom_site_fract_x
_atom_site_fract_y
_atom_site_fract_z
Mg1 Mg 0.0000 0.0000 0.0000
Nb1 Nb 0.5000 0.5000 0.2588
Re1 Re 0.0000 0.0000 0.4702
Sn1 Sn 0.5000 0.5000 0.7310
```

Energy of formation ... 0.084 eV/atom
Density of states at the Fermi level ... 0.807 states/eV/atom
Total moment ... 0.00 μB per formula unit
Relative energy among the computed polymorphs ... 89 meV per atom


Entry 3:
The following is a GGA-PBE calculation of a relaxed structure of ZrCu, from the Alexandria database.

```
data_ZrCu
_chemical_formula_sum 'Zr4 Cu4'
_cell_length_a 5.2731
_cell_length_b 5.2731
_cell_length_c 5.4134
_cell_angle_alpha 99.17
_cell_angle_beta 99.17
_cell_angle_gamma 103.66
_space_group_name_H-M_alt 'P 1'
_space_group_IT_number 1
loop_
_space_group_symop_operation_xyz
'x,y,z'
loop_
_atom_site_label
_atom_site_type_symbol
_atom_site_fract_x
_atom_site_fract_y
_atom_site_fract_z
Zr1 Zr 0.0000 0.0000 0.0000
Zr2 Zr 0.3670 0.9207 0.5938
Zr3 Zr 0.5020 0.5020 0.9751
Zr4 Zr 0.9207 0.3670 0.5938
Cu1 Cu 0.0406 0.5399 0.1515
Cu2 Cu 0.3973 0.3973 0.4331
Cu3 Cu 0.5399 0.0406 0.1515
Cu4 Cu 0.8150 0.8150 0.4452
```

Energy of formation ... -0.133 eV/atom
Density of states at the Fermi level ... 1.044 states/eV/atom
Total moment ... 0.00 μB per formula unit


Entry 4:
The following is a GGA-PBE calculation of a relaxed structure of AcPm12Er2, from the Alexandria database.

```
data_AcPm12Er2
_chemical_formula_sum 'Ac2 Pm24 Er4'
_cell_length_a 6.7955
_cell_length_b 6.7955
_cell_length_c 24.9908
_cell_angle_alpha 92.20
_cell_angle_beta 92.20
_cell_angle_gamma 115.20
_space_group_name_H-M_alt 'P 1'
_space_group_IT_number 1
loop_
_space_group_symop_operation_xyz
'x,y,z'
loop_
_atom_site_label
_atom_site_type_symbol
_atom_site_fract_x
_atom_site_fract_y
_atom_site_fract_z
Ac1 Ac 0.2484 0.2484 0.4917
Ac2 Ac 0.7516 0.7516 0.5083
Pm1 Pm 0.0643 0.5358 0.7044
Pm2 Pm 0.0677 0.5947 0.8300
Pm3 Pm 0.1183 0.1183 0.0740
Pm4 Pm 0.1509 0.6192 0.0551
Pm5 Pm 0.2147 0.2147 0.3477
Pm6 Pm 0.2334 0.7327 0.4240
Pm7 Pm 0.2673 0.7666 0.5760
Pm8 Pm 0.2815 0.2815 0.6344
Pm9 Pm 0.3478 0.3478 0.9189
Pm10 Pm 0.3808 0.8491 0.9449
Pm11 Pm 0.4053 0.9323 0.1700
Pm12 Pm 0.4642 0.9357 0.2956
Pm13 Pm 0.5358 0.0643 0.7044
Pm14 Pm 0.5947 0.0677 0.8300
Pm15 Pm 0.6192 0.1509 0.0551
Pm16 Pm 0.6522 0.6522 0.0811
Pm17 Pm 0.7185 0.7185 0.3656
Pm18 Pm 0.7327 0.2334 0.4240
Pm19 Pm 0.7666 0.2673 0.5760
Pm20 Pm 0.7853 0.7853 0.6523
Pm21 Pm 0.8491 0.3808 0.9449
Pm22 Pm 0.8817 0.8817 0.9260
Pm23 Pm 0.9323 0.4053 0.1700
Pm24 Pm 0.9357 0.4642 0.2956
Er1 Er 0.0775 0.0775 0.7755
Er2 Er 0.4426 0.4426 0.2227
Er3 Er 0.5574 0.5574 0.7773
Er4 Er 0.9225 0.9225 0.2245
```

Energy of formation ... 0.107 eV/atom
Density of states at the Fermi level ... 1.449 states/eV/atom
Total moment ... 0.00 μB per formula unit


Entry 5:
The following is a GGA-PBE calculation of a relaxed structure of MnCdHg2, from the Alexandria database.

```
data_MnCdHg2
_chemical_formula_sum 'Mn1 Cd1 Hg2'
_cell_length_a 3.3285
_cell_length_b 4.8116
_cell_length_c 5.1637
_cell_angle_alpha 90.00
_cell_angle_beta 90.00
_cell_angle_gamma 90.00
_space_group_name_H-M_alt 'P 1'
_space_group_IT_number 1
loop_
_space_group_symop_operation_xyz
'x,y,z'
loop_
_atom_site_label
_atom_site_type_symbol
_atom_site_fract_x
_atom_site_fract_y
_atom_site_fract_z
Mn1 Mn 0.0000 0.0000 0.0000
Cd1 Cd 0.0000 0.5000 0.6296
Hg1 Hg 0.5000 0.0000 0.4975
Hg2 Hg 0.5000 0.5000 0.1109
```

Energy of formation ... 0.231 eV/atom
Density of states at the Fermi level ... 0.449 states/eV/atom
Total moment ... 4.01 μB per formula unit


Entry 6:
The following is a GGA-PBE calculation of a relaxed structure of NbFeP2Cl, from the Alexandria database.

```
data_NbFeP2Cl
_chemical_formula_sum 'Nb1 Fe1 P2 Cl1'
_cell_length_a 4.3161
_cell_length_b 4.3161
_cell_length_c 4.4799
_cell_angle_alpha 90.00
_cell_angle_beta 90.00
_cell_angle_gamma 90.00
_space_group_name_H-M_alt 'P 1'
_space_group_IT_number 1
loop_
_space_group_symop_operation_xyz
'x,y,z'
loop_
_atom_site_label
_atom_site_type_symbol
_atom_site_fract_x
_atom_site_fract_y
_atom_site_fract_z
Nb1 Nb 0.0000 0.0000 0.0000
Fe1 Fe 0.5000 0.5000 0.5000
P1 P 0.0000 0.5000 0.5000
P2 P 0.5000 0.0000 0.5000
Cl1 Cl 0.5000 0.5000 0.0000
```

Density of states at the Fermi level ... 1.486 states/eV/atom
Raw formation energy ... 603 meV per atom
Total moment ... 0.32 μB per formula unit
Relative energy among the computed polymorphs ... 28 meV per atom


Entry 7:
The following is a GGA-PBE calculation of a relaxed structure of Rb2MgCdHg6, from the Alexandria database.

```
data_Rb2MgCdHg6
_chemical_formula_sum 'Rb2 Mg1 Cd1 Hg6'
_cell_length_a 8.0207
_cell_length_b 8.0207
_cell_length_c 8.0207
_cell_angle_alpha 120.18
_cell_angle_beta 119.80
_cell_angle_gamma 90.02
_space_group_name_H-M_alt 'P 1'
_space_group_IT_number 1
loop_
_space_group_symop_operation_xyz
'x,y,z'
loop_
_atom_site_label
_atom_site_type_symbol
_atom_site_fract_x
_atom_site_fract_y
_atom_site_fract_z
Rb1 Rb 0.2501 0.2501 0.0000
Rb2 Rb 0.7499 0.7499 0.0000
Mg1 Mg 0.5000 0.0000 0.5000
Cd1 Cd 0.0000 0.5000 0.5000
Hg1 Hg 0.2538 0.2462 0.5000
Hg2 Hg 0.2538 0.7538 0.0076
Hg3 Hg 0.2537 0.7537 0.5000
Hg4 Hg 0.7463 0.2463 0.5000
Hg5 Hg 0.7462 0.2462 0.9924
Hg6 Hg 0.7462 0.7538 0.5000
```

Energy of formation ... -0.125 eV/atom
Density of states at the Fermi level ... 0.564 states/eV/atom
Total moment ... 0.00 μB per formula unit


Entry 8:
The following is a GGA-PBE calculation of a relaxed structure of Tl2Cd3Pb, from the Alexandria database.

```
data_Tl2Cd3Pb
_chemical_formula_sum 'Tl2 Cd3 Pb1'
_cell_length_a 5.9286
_cell_length_b 5.9286
_cell_length_c 6.4007
_cell_angle_alpha 115.83
_cell_angle_beta 115.83
_cell_angle_gamma 61.02
_space_group_name_H-M_alt 'P 1'
_space_group_IT_number 1
loop_
_space_group_symop_operation_xyz
'x,y,z'
loop_
_atom_site_label
_atom_site_type_symbol
_atom_site_fract_x
_atom_site_fract_y
_atom_site_fract_z
Tl1 Tl 0.1188 0.1188 0.3605
Tl2 Tl 0.8812 0.8812 0.6395
Cd1 Cd 0.0000 0.5000 0.0000
Cd2 Cd 0.5000 0.0000 0.0000
Cd3 Cd 0.5000 0.5000 0.0000
Pb1 Pb 0.5000 0.5000 0.5000
```

Energy of formation ... 0.036 eV/atom
Density of states at the Fermi level ... 0.409 states/eV/atom
Total moment ... 0.00 μB per formula unit


Entry 9:
The following is a GGA-PBE calculation of a relaxed structure of Cs3Dy2YS6, from the Alexandria database.

```
data_Cs3Dy2YS6
_chemical_formula_sum 'Cs3 Dy2 Y1 S6'
_cell_length_a 7.1143
_cell_length_b 7.1143
_cell_length_c 8.4055
_cell_angle_alpha 98.11
_cell_angle_beta 98.11
_cell_angle_gamma 120.00
_space_group_name_H-M_alt 'P 1'
_space_group_IT_number 1
loop_
_space_group_symop_operation_xyz
'x,y,z'
loop_
_atom_site_label
_atom_site_type_symbol
_atom_site_fract_x
_atom_site_fract_y
_atom_site_fract_z
Cs1 Cs 0.0000 0.0000 0.0000
Cs2 Cs 0.3333 0.6667 0.0000
Cs3 Cs 0.6667 0.3333 0.0000
Dy1 Dy 0.1667 0.8333 0.5000
Dy2 Dy 0.8333 0.1667 0.5000
Y1 Y 0.5000 0.5000 0.5000
S1 S 0.1056 0.4394 0.3184
S2 S 0.2267 0.2267 0.6817
S3 S 0.4394 0.1056 0.3184
S4 S 0.5606 0.8944 0.6816
S5 S 0.7733 0.7733 0.3183
S6 S 0.8944 0.5606 0.6816
```

Density of states at the Fermi level ... 0.000 states/eV/atom
Raw formation energy ... -1835 meV per atom
Total moment ... 0.00 μB per formula unit


Entry 10:
The following is a GGA-PBE calculation of a relaxed structure of Pm6Au2N, from the Alexandria database.

```
data_Pm6Au2N
_chemical_formula_sum 'Pm12 Au4 N2'
_cell_length_a 6.7527
_cell_length_b 7.2657
_cell_length_c 11.9946
_cell_angle_alpha 90.00
_cell_angle_beta 123.41
_cell_angle_gamma 90.00
_space_group_name_H-M_alt 'P 1'
_space_group_IT_number 1
loop_
_space_group_symop_operation_xyz
'x,y,z'
loop_
_atom_site_label
_atom_site_type_symbol
_atom_site_fract_x
_atom_site_fract_y
_atom_site_fract_z
Pm1 Pm 0.1263 0.0253 0.2401
Pm2 Pm 0.1263 0.4747 0.7401
Pm3 Pm 0.2354 0.7076 0.0536
Pm4 Pm 0.2354 0.7924 0.5536
Pm5 Pm 0.3543 0.1896 0.0536
Pm6 Pm 0.3543 0.3104 0.5536
Pm7 Pm 0.6457 0.6896 0.4464
Pm8 Pm 0.6457 0.8104 0.9464
Pm9 Pm 0.7646 0.2076 0.4464
Pm10 Pm 0.7646 0.2924 0.9464
Pm11 Pm 0.8737 0.5253 0.2599
Pm12 Pm 0.8737 0.9747 0.7599
Au1 Au 0.2950 0.0825 0.7504
Au2 Au 0.2950 0.4175 0.2504
Au3 Au 0.7050 0.5825 0.7496
Au4 Au 0.7050 0.9175 0.2496
N1 N 0.0000 0.0000 0.0000
N2 N 0.0000 0.5000 0.5000
```

Density of states at the Fermi level ... 0.838 states/eV/atom
Raw formation energy ... -686 meV per atom
Total moment ... 0.00 μB per formula unit


Entry 11:
The following is a GGA-PBE calculation of a relaxed structure of CsScAuI6, from the Alexandria database.

```
data_CsScAuI6
_chemical_formula_sum 'Cs1 Sc1 Au1 I6'
_cell_length_a 7.4677
_cell_length_b 7.4677
_cell_length_c 8.1849
_cell_angle_alpha 96.78
_cell_angle_beta 96.78
_cell_angle_gamma 108.31
_space_group_name_H-M_alt 'P 1'
_space_group_IT_number 1
loop_
_space_group_symop_operation_xyz
'x,y,z'
loop_
_atom_site_label
_atom_site_type_symbol
_atom_site_fract_x
_atom_site_fract_y
_atom_site_fract_z
Cs1 Cs 0.0000 0.0000 0.0000
Sc1 Sc 0.3972 0.6028 0.5000
Au1 Au 0.7567 0.2433 0.5000
I1 I 0.1066 0.5788 0.2431
I2 I 0.1286 0.3027 0.6462
I3 I 0.4212 0.8934 0.7569
I4 I 0.4900 0.3135 0.2718
I5 I 0.6865 0.5100 0.7282
I6 I 0.6973 0.8714 0.3538
```

Density of states at the Fermi level ... 0.619 states/eV/atom
Raw formation energy ... -872 meV per atom
Total moment ... 0.00 μB per formula unit